Entry 1:
Compound: La5Zn2Ge
Source: Alexandria via LeMat-Bulk
Functional: PBE-GGA
Structure: relaxed

Formation energy ... -0.366 eV per atom
Symmetry ... No. 140
Magnetic moment ... 0.000 μB/f.u.

a b c (Å): 7.803 7.803 9.444
angles (deg): 114.40 114.40 90.00
Atoms (fractional coordinates):
La (0.676, 0.176, 0.690)
La (0.176, 0.014, 0.690)
La (0.514, 0.676, 0.690)
La (0.324, 0.824, 0.310)
La (0.014, 0.514, 0.690)
La (0.486, 0.324, 0.310)
La (0.824, 0.986, 0.310)
La (0.000, 0.000, 0.000)
La (0.500, 0.500, 0.000)
La (0.986, 0.486, 0.310)
Zn (0.118, 0.382, 0.000)
Zn (0.382, 0.882, 0.000)
Zn (0.618, 0.118, 0.000)
Zn (0.882, 0.618, 0.000)
Ge (0.750, 0.750, 0.500)
Ge (0.250, 0.250, 0.500)

***

Entry 2:
Compound: HoMgRu2
Source: Alexandria via LeMat-Bulk
Functional: PBE-GGA
Structure: relaxed

Formation energy ... -0.049 eV per atom
Symmetry ... No. 123
Magnetic moment ... 0.623 μB/f.u.

a b c (Å): 3.394 4.540 4.540
angles (deg): 90.00 90.00 90.00
Atoms (fractional coordinates):
Ru (0.000, 0.000, 0.500)
Ru (0.000, 0.500, 0.000)
Mg (0.500, 0.000, 0.000)
Ho (0.500, 0.500, 0.500)

***

Entry 3:
Compound: TcAg3
Source: Alexandria via LeMat-Bulk
Functional: PBE-GGA
Structure: relaxed

Formation energy ... 0.521 eV per atom
Symmetry ... No. 166
ΔE to the lowest computed polymorph ... 0.209 eV/atom
Magnetic moment ... 0.243 μB/f.u.

a b c (Å): 5.521 5.521 5.521
angles (deg): 117.50 117.50 117.50
Atoms (fractional coordinates):
Ag (0.000, 0.000, 0.000)
Ag (0.500, 0.500, 0.000)
Ag (0.000, 0.500, 0.500)
Tc (0.500, 0.000, 0.500)